Entry 1:
16
Lattice="-0.633 6.922 -1.008 -3.272 -1.262 -6.608 -2.815 -2.991 5.698" Properties=species:S:1:pos:R:3 comment="K4Dy3PbO8 | the Alexandria database | PBE | relaxed" vol_a3_per_atom=16.79 e_form_raw_ev_per_atom=-2.35 dos_ef_per_ev_cell=1.9 pbc="T T T"
O -1.620 4.754 -2.546
O -2.737 -0.143 0.737
O -3.749 -0.649 -2.105
O -2.970 3.319 0.187
O -1.316 1.433 -2.063
O -3.982 2.813 -2.656
O -5.100 -2.084 0.628
O -5.403 1.237 0.144
Dy -3.360 1.335 -0.959
Dy -3.043 -2.126 -0.455
Dy -1.952 2.830 -3.808
K 0.000 0.000 0.000
K -1.408 -1.495 2.849
K -1.724 1.966 2.345
K -0.316 3.461 -0.504
Pb -1.636 -0.631 -3.304

---

Entry 2:
5
Lattice="-3.092 -3.894 0.761 3.529 -2.041 3.896 -2.415 2.613 3.556" Properties=species:S:1:pos:R:3 comment="CsHf2RePt | the Alexandria database | PBE | relaxed" vol_a3_per_atom=28.54 dos_ef_per_ev_cell=4.6 formation_enthalpy_0k_ev_per_atom=1.290 pbc="T T T"
Hf -1.208 1.306 1.778
Hf -1.546 -1.947 0.380
Pt -0.990 -1.661 4.106
Re 0.000 0.000 0.000
Cs 1.764 -1.020 1.948

---

Entry 3:
6
Lattice="-4.177 -4.725 0.574 -4.265 0.095 4.681 -6.115 1.003 -1.308" Properties=species:S:1:pos:R:3 comment="CaY4Pt | the Alexandria database | PBE | relaxed" vol_a3_per_atom=29.93 dos_ef_per_ev_cell=6.3 formation_enthalpy_0k_ev_per_atom=0.344 pbc="T T T"
Y -5.443 -1.356 1.476
Y -7.594 -1.308 3.837
Y -8.527 -0.850 0.816
Y -7.550 -3.740 1.766
Pt 0.000 0.000 0.000
Ca -10.917 -2.720 2.960

---

Entry 4:
7
Lattice="-1.856 -3.198 -2.002 3.349 -2.424 0.768 -3.366 0.920 6.066" Properties=species:S:1:pos:R:3 comment="SrPmNpN4 | the Alexandria database | PBE | relaxed" vol_a3_per_atom=16.00 e_form_raw_ev_per_atom=-1.03 pbc="T T T"
Np -1.857 -4.691 4.799
N -0.826 -0.597 1.719
N -0.996 -4.070 3.009
N -0.976 -1.634 -0.901
N 1.626 -1.247 0.484
Pm -0.008 -3.356 0.954
Sr -1.835 -1.325 3.817

---

Entry 5:
4
Lattice="-0.178 -3.261 -0.646 2.890 -0.471 1.584 -4.086 -1.185 7.103" Properties=species:S:1:pos:R:3 comment="Er2PaNi | the Alexandria database | PBE | relaxed" relative_energy_mev_per_atom=0 vol_a3_per_atom=22.93 dos_ef_per_ev_cell=5.1 formation_enthalpy_0k_ev_per_atom=-0.090 pbc="T T T"
Er -3.273 -0.949 5.690
Er -0.813 -0.236 1.413
Ni 1.356 -1.866 0.469
Pa -0.687 -2.458 4.020

---

Entry 6:
6
Lattice="3.636 0.000 0.000 0.000 3.982 0.000 0.000 1.991 9.481" Properties=species:S:1:pos:R:3 comment="LiSiPb | the Alexandria database | PBE | relaxed" relative_energy_mev_per_atom=0 vol_a3_per_atom=22.88 e_form_raw_ev_per_atom=-0.05 dos_ef_per_ev_cell=1.7 pbc="T T T"
Pb 0.909 3.982 5.935
Pb 2.727 1.991 3.545
Si 2.727 1.991 0.707
Si 0.909 3.982 8.774
Li 2.727 1.991 8.184
Li 0.909 3.982 1.297

---

Entry 7:
8
Lattice="4.424 0.000 0.000 0.000 7.680 0.140 0.000 -2.692 8.017" Properties=species:S:1:pos:R:3 comment="ErPuIn2Te4 | the Alexandria database | PBE | relaxed" vol_a3_per_atom=34.25 e_form_raw_ev_per_atom=-0.82 dos_ef_per_ev_cell=15.0 pbc="T T T"
In 0.000 2.494 4.078
In 2.212 -1.346 4.008
Pu 2.212 3.840 0.070
Er 0.000 0.000 0.000
Te 0.000 5.131 1.868
Te 2.212 1.201 1.788
Te 2.212 3.787 6.369
Te 0.000 -0.143 6.288

---

Entry 8:
5
Lattice="-3.469 2.667 0.603 -1.267 -2.431 3.464 3.045 5.808 8.005" Properties=species:S:1:pos:R:3 comment="Ba2Hg2Pb | the Alexandria database | PBE | relaxed" relative_energy_mev_per_atom=102 vol_a3_per_atom=38.50 dos_ef_per_ev_cell=4.3 formation_enthalpy_0k_ev_per_atom=-0.395 pbc="T T T"
Hg -1.396 4.297 5.321
Hg -0.295 1.748 6.751
Ba -0.451 4.741 8.794
Ba -1.240 1.304 3.278
Pb 0.000 0.000 0.000

---

Entry 9:
8
Lattice="6.941 0.000 0.000 0.000 6.941 0.000 3.471 3.471 2.316" Properties=species:S:1:pos:R:3 comment="TaRe2N | the Alexandria database | PBE | relaxed" vol_a3_per_atom=13.95 e_form_raw_ev_per_atom=0.17 dos_ef_per_ev_cell=5.6 pbc="T T T"
Re 8.677 7.922 1.737
Re 4.451 1.735 0.579
Re 2.490 5.206 0.579
Re 5.206 5.961 1.737
N 3.471 6.941 1.158
N 3.471 3.471 0.000
Ta 0.000 0.000 0.000
Ta 6.941 3.471 1.158

---

Entry 10:
10
Lattice="7.704 0.000 0.000 0.000 7.704 0.000 0.000 0.000 5.363" Properties=species:S:1:pos:R:3 comment="Ca2Tl2Se | the Alexandria database | PBE | relaxed" vol_a3_per_atom=31.83 e_form_raw_ev_per_atom=-0.65 dos_ef_per_ev_cell=6.5 pbc="T T T"
Ca 1.355 2.497 0.000
Ca 5.207 1.355 0.000
Ca 2.497 6.349 0.000
Ca 6.349 5.207 0.000
Se 3.852 3.852 0.000
Se 0.000 0.000 0.000
Tl 2.779 1.073 2.681
Tl 4.925 6.631 2.681
Tl 6.631 2.779 2.681
Tl 1.073 4.925 2.681

---

Entry 11:
4
Lattice="-1.318 -3.561 -0.384 2.836 -1.293 2.250 -2.509 -0.113 9.657" Properties=species:S:1:pos:R:3 comment="Ba2ZrMn | the Alexandria database | PBE | relaxed" relative_energy_mev_per_atom=409 vol_a3_per_atom=33.78 dos_ef_per_ev_cell=6.9 formation_enthalpy_0k_ev_per_atom=0.798 pbc="T T T"
Ba 2.725 -1.268 2.402
Ba 0.275 -0.728 5.801
Mn -0.577 -2.132 2.784
Zr -0.413 -2.835 8.738

---

Entry 12:
6
Lattice="0.000 3.493 3.493 3.493 0.000 3.493 3.493 3.493 0.000" Properties=species:S:1:pos:R:3 comment="KReNi4 | the Alexandria database | PBE | relaxed" vol_a3_per_atom=14.21 dos_ef_per_ev_cell=9.3 formation_enthalpy_0k_ev_per_atom=0.849 pbc="T T T"
K 0.000 0.000 0.000
Ni 2.630 2.630 2.630
Ni 4.356 2.630 4.356
Ni 2.630 4.356 4.356
Ni 4.356 4.356 2.630
Re 5.240 5.240 5.240

---

Entry 13:
4
Lattice="-1.934 -3.537 1.816 2.094 -3.894 0.029 2.934 -0.881 6.791" Properties=species:S:1:pos:R:3 comment="TbAgTe2 | the Alexandria database | PBE | relaxed" vol_a3_per_atom=29.63 e_form_raw_ev_per_atom=-0.84 pbc="T T T"
Te 0.759 -2.086 2.129
Te 2.335 -6.226 6.508
Tb 1.547 -4.156 4.318
Ag 0.000 0.000 0.000

---

Entry 14:
4
Lattice="0.891 -4.923 0.465 -2.036 -2.573 3.805 -3.672 -3.312 -0.888" Properties=species:S:1:pos:R:3 comment="BaPbF2 | the Alexandria database | PBE | relaxed" relative_energy_mev_per_atom=642 vol_a3_per_atom=22.42 e_form_raw_ev_per_atom=-1.88 dos_ef_per_ev_cell=3.4 pbc="T T T"
F -1.204 -2.702 0.845
F -3.613 -8.106 2.536
Ba 0.000 0.000 0.000
Pb -2.409 -5.404 1.691

---

Entry 15:
10
Lattice="-0.518 4.198 -0.503 -3.540 -0.708 -2.261 -5.908 0.366 9.135" Properties=species:S:1:pos:R:3 comment="Sm2ErGa3Rh4 | the Alexandria database | PBE | relaxed" vol_a3_per_atom=19.75 dos_ef_per_ev_cell=6.1 formation_enthalpy_0k_ev_per_atom=-0.798 pbc="T T T"
Er -4.983 1.928 3.185
Rh -4.114 2.338 5.708
Rh 0.000 0.000 0.000
Rh -2.029 1.745 -1.382
Rh -3.823 -0.226 2.044
Ga -5.468 2.422 7.803
Ga -2.469 -0.310 -0.051
Ga -2.954 0.183 4.567
Sm -1.564 2.180 1.767
Sm -6.373 -0.068 5.986

---

Entry 16:
4
Lattice="4.113 0.000 0.000 2.056 3.562 0.000 2.056 1.187 6.551" Properties=species:S:1:pos:R:3 comment="ErPuPd2 | the Alexandria database | PBE | relaxed" vol_a3_per_atom=23.99 dos_ef_per_ev_cell=15.1 formation_enthalpy_0k_ev_per_atom=-0.503 pbc="T T T"
Pd 2.056 1.187 1.611
Pd 6.169 3.562 4.940
Er 0.000 0.000 0.000
Pu 4.113 2.375 3.275

---

Entry 17:
10
Lattice="-1.861 0.363 5.784 -5.236 -2.845 1.697 2.262 -6.918 1.162" Properties=species:S:1:pos:R:3 comment="ErTh2Fe2 | the Alexandria database | PBE | relaxed" relative_energy_mev_per_atom=0 vol_a3_per_atom=23.46 dos_ef_per_ev_cell=10.4 formation_enthalpy_0k_ev_per_atom=0.001 pbc="T T T"
Th -1.730 -3.118 3.543
Th -3.104 -6.281 5.100
Th -0.192 -6.657 2.858
Th -4.642 -2.743 5.785
Fe -3.821 -1.916 2.874
Fe -1.013 -7.484 5.769
Fe -2.237 -5.463 2.046
Fe -2.598 -3.937 6.597
Er -4.824 -4.544 2.464
Er -0.011 -4.855 6.179

---

Entry 18:
4
Lattice="4.114 0.000 0.000 0.000 2.541 0.000 0.000 1.051 4.958" Properties=species:S:1:pos:R:3 comment="ZnCr2Tc | the Alexandria database | PBE | relaxed" vol_a3_per_atom=12.95 dos_ef_per_ev_cell=4.0 formation_enthalpy_0k_ev_per_atom=0.168 pbc="T T T"
Cr 2.057 0.842 1.204
Cr 0.000 0.089 0.012
Tc 0.000 1.694 2.463
Zn 2.057 2.762 3.759

---

Entry 19:
4
Lattice="-0.179 0.737 4.027 1.084 -2.916 2.667 8.825 2.283 2.059" Properties=species:S:1:pos:R:3 comment="SrSmHg2 | the Alexandria database | PBE | relaxed" vol_a3_per_atom=32.87 dos_ef_per_ev_cell=2.9 formation_enthalpy_0k_ev_per_atom=-0.354 pbc="T T T"
Hg 6.831 1.579 2.099
Hg 2.291 -0.024 2.191
Sr 4.859 0.050 4.377
Sm 0.613 -1.449 4.463

---

Entry 20:
4
Lattice="-1.064 3.466 -0.354 -4.234 -0.976 3.165 3.357 1.538 4.965" Properties=species:S:1:pos:R:3 comment="KPbCl2 | the Alexandria database | PBE | relaxed" relative_energy_mev_per_atom=91 vol_a3_per_atom=30.29 e_form_raw_ev_per_atom=-1.16 dos_ef_per_ev_cell=1.3 pbc="T T T"
Cl -1.391 1.821 3.266
Cl 2.938 1.346 4.345
K 1.259 0.577 1.862
Pb 0.289 2.591 5.751

---

Entry 21:
15
Lattice="-3.036 -8.764 -5.007 4.904 -5.232 -4.911 0.080 -8.126 3.081" Properties=species:S:1:pos:R:3 comment="Sm10Ho4Pu | the Alexandria database | PBE | relaxed" vol_a3_per_atom=33.56 dos_ef_per_ev_cell=29.1 formation_enthalpy_0k_ev_per_atom=0.361 pbc="T T T"
Sm 0.986 -11.034 0.039
Sm 0.962 -11.088 -6.875
Sm 1.923 -8.314 -5.290
Sm 1.733 -8.870 -2.167
Sm 0.215 -13.252 -4.670
Sm 0.111 -4.302 -0.120
Sm 1.837 -17.820 -6.716
Sm 2.798 -15.046 -5.132
Sm -0.850 -7.076 -1.705
Sm 0.025 -13.808 -1.546
Ho 2.654 -11.679 -3.356
Ho -0.707 -10.443 -3.480
Ho -0.889 -16.223 -4.346
Ho 2.837 -5.898 -2.490
Pu 0.000 0.000 0.000

---

Entry 22:
5
Lattice="3.500 0.000 0.000 0.000 3.500 0.000 0.000 0.000 3.500" Properties=species:S:1:pos:R:3 comment="ScPN3 | the Alexandria database | PBE | relaxed" vol_a3_per_atom=8.57 e_form_raw_ev_per_atom=-0.20 dos_ef_per_ev_cell=1.4 pbc="T T T"
Sc 1.750 1.750 1.750
P 0.000 0.000 0.000
N 1.750 0.000 0.000
N 0.000 0.000 1.750
N 0.000 1.750 0.000

---

| no. | size of the total moment (μB per atom) |
| --- | --- |
| 1 | 0.00 |
| 2 | 0.00 |
| 3 | 0.00 |
| 4 | 0.00 |
| 5 | 0.09 |
| 6 | 0.00 |
| 7 | 0.63 |
| 8 | 0.00 |
| 9 | 0.00 |
| 10 | 0.00 |
| 11 | 0.90 |
| 12 | 0.76 |
| 13 | 0.00 |
| 14 | 0.23 |
| 15 | 0.00 |
| 16 | 1.35 |
| 17 | 0.01 |
| 18 | 0.00 |
| 19 | 0.00 |
| 20 | 0.00 |
| 21 | 0.38 |
| 22 | 0.00 |